1.
A plane-wave DFT calculation with PBE-GGA was carried out for an optimized crystal structure of TbHoSnIr.

The structure in POSCAR format:
```
TbHoSnIr
1.0
-0.2057 5.0173 0.8204
-4.3162 2.1341 1.6446
-0.3028 1.7903 4.7531
Ho Ir Sn Tb
1 1 1 1
direct
0.5000 0.5000 0.5000 Ho
0.7500 0.7500 0.7500 Ir
0.2500 0.2500 0.2500 Sn
0.0000 0.0000 0.0000 Tb
```

---

2.
A plane-wave DFT calculation with PBE-GGA was carried out for an optimized crystal structure of Pr2GdAu.

The structure in POSCAR format:
```
Pr2GdAu
1.0
-0.1771 2.9679 -2.2855
-3.3661 -1.1301 -1.2067
-3.8044 4.6162 6.2892
Au Gd Pr
1 1 2
direct
0.5000 0.5000 0.0000 Au
0.5000 0.5000 0.5000 Gd
0.0000 0.0000 0.7889 Pr
0.0000 0.0000 0.2111 Pr
```

---

3.
A plane-wave DFT calculation with PBE-GGA was carried out for an optimized crystal structure of RbSrTa.

The structure in POSCAR format:
```
RbSrTa
1.0
0.0000 4.2018 4.2018
4.2018 0.0000 4.2018
4.2018 4.2018 0.0000
Sr Rb Ta
1 1 1
direct
0.7500 0.7500 0.7500 Sr
0.2500 0.2500 0.2500 Rb
0.5000 0.5000 0.5000 Ta
```

---

4.
A plane-wave DFT calculation with PBE-GGA was carried out for an optimized crystal structure of Hg2IrCl.

The structure in POSCAR format:
```
Hg2IrCl
1.0
3.2445 0.0000 0.0000
0.0000 3.2445 0.0000
0.0000 0.0000 7.7544
Cl Ir Hg
1 1 2
direct
0.5000 0.5000 0.7500 Cl
0.5000 0.5000 0.2500 Ir
0.0000 0.0000 0.4694 Hg
0.0000 0.0000 0.0306 Hg
```

## Properties
ΔE_f (raw)	0.308	eV per atom

---

5.
A plane-wave DFT calculation with PBE-GGA was carried out for an optimized crystal structure of BMo3Rh.

The structure in POSCAR format:
```
BMo3Rh
1.0
-0.5883 0.1340 -4.6233
-2.3300 -4.0346 0.1796
-3.9955 2.3331 0.5761
B Mo Rh
1 3 1
direct
0.5000 0.5000 0.5000 B
0.0000 0.0000 0.5000 Mo
0.5000 0.0000 0.0000 Mo
0.0000 0.5000 0.0000 Mo
0.0000 0.0000 0.0000 Rh
```

---

6.
A plane-wave DFT calculation with PBE-GGA was carried out for an optimized crystal structure of MnB3Rh.

The structure in POSCAR format:
```
MnB3Rh
1.0
-1.6745 1.7954 3.0669
-1.3546 -3.4569 1.2841
3.2855 -0.5102 2.0925
Mn B Rh
1 3 1
direct
0.5000 0.5000 0.5000 Mn
0.5000 0.0000 0.0000 B
0.0000 0.5000 0.0000 B
0.0000 0.0000 0.5000 B
0.0000 0.0000 0.0000 Rh
```

---

7.
A plane-wave DFT calculation with PBE-GGA was carried out for an optimized crystal structure of ZrNiAu.

The structure in POSCAR format:
```
ZrNiAu
1.0
-2.0902 -4.0838 -2.2942
2.4846 1.7592 -5.3953
4.3938 -4.1247 3.3389
Au Ni Zr
4 4 4
direct
0.0906 0.0754 0.7096 Au
0.5906 0.9246 0.7904 Au
0.9094 0.9246 0.2904 Au
0.4094 0.0754 0.2096 Au
0.3609 0.3498 0.9959 Ni
0.6391 0.6502 0.0041 Ni
0.1391 0.3498 0.4959 Ni
0.8609 0.6502 0.5041 Ni
0.3707 0.6766 0.3688 Zr
0.1293 0.6766 0.8688 Zr
0.6293 0.3234 0.6312 Zr
0.8707 0.3234 0.1312 Zr
```

---

8.
A plane-wave DFT calculation with PBE-GGA was carried out for an optimized crystal structure of CaCd2GeO.

The structure in POSCAR format:
```
CaCd2GeO
1.0
4.6100 0.0000 0.0000
0.0000 4.6100 0.0000
0.0000 0.0000 5.1465
Ge O Cd Ca
1 1 2 1
direct
0.0000 0.0000 0.5000 Ge
0.0000 0.0000 0.0000 O
0.5000 0.0000 0.0000 Cd
0.0000 0.5000 0.0000 Cd
0.5000 0.5000 0.5000 Ca
```

## Properties
ΔE_f (raw)	-0.241	eV per atom

---

9.
A plane-wave DFT calculation with PBE-GGA was carried out for an optimized crystal structure of TaIn2As.

The structure in POSCAR format:
```
TaIn2As
1.0
4.2852 0.0000 0.0000
0.0000 4.4028 0.0000
0.0000 0.0000 4.4028
In As Ta
2 1 1
direct
0.0000 0.0000 0.0000 In
0.0000 0.5000 0.5000 In
0.5000 0.0000 0.5000 As
0.5000 0.5000 0.0000 Ta
```

---

10.
A plane-wave DFT calculation with PBE-GGA was carried out for an optimized crystal structure of TlZnP.

The structure in POSCAR format:
```
TlZnP
1.0
-1.7426 1.7426 5.8385
1.7426 -1.7426 5.8385
1.7426 1.7426 -5.8385
Zn P Tl
1 1 1
direct
0.4094 0.4094 0.0000 Zn
0.9236 0.9236 0.0000 P
0.6669 0.6669 0.0000 Tl
```

---

11.
A plane-wave DFT calculation with PBE-GGA was carried out for an optimized crystal structure of KCr2Tc.

The structure in POSCAR format:
```
KCr2Tc
1.0
5.0539 0.0000 0.0000
0.0000 5.0539 0.0000
0.0000 0.0000 2.9677
K Cr Tc
1 2 1
direct
0.5000 0.0000 0.5000 K
0.0000 0.0000 0.0000 Cr
0.5000 0.5000 0.0000 Cr
0.0000 0.5000 0.5000 Tc
```

---

12.
A plane-wave DFT calculation with PBE-GGA was carried out for an optimized crystal structure of La2CoSiTe.

The structure in POSCAR format:
```
La2CoSiTe
1.0
5.5177 0.0000 0.0000
0.0000 5.5177 0.0000
0.0000 0.0000 4.2971
La Te Co Si
2 1 1 1
direct
0.0000 0.5000 0.0000 La
0.5000 0.0000 0.0000 La
0.5000 0.5000 0.5000 Te
0.0000 0.0000 0.0000 Co
0.0000 0.0000 0.5000 Si
```

## Properties
ΔE_f (raw)	-0.827	eV per atom

---

Table of total energy (eV/cell), in record order: -24.49, -28.28, -9.11, -10.08, -34.03, -28.93, -75.91, -14.61, -20.16, -8.43, -25.16, -29.66